Below is an optimized crystal structure of YScSi2, with properties calculated at the PBE level.

Cell lengths 3.3260, 4.6371, 5.6270 Å; angles 90.00, 90.00, 90.00 degrees
With the nearest neighbours (Å) after each atom.
Sites, in units of the cell vectors:
Y 0.0000 0.0000 0.0000  6 Si 2.81-2.85
Sc 0.5000 0.5000 0.5000  6 Si 2.81-2.85
Si 0.0000 0.0000 0.5000  2 Y 2.81, 4 Sc 2.85
Si 0.5000 0.5000 0.0000  2 Sc 2.81, 4 Y 2.85

Results
- Calculated density: 3.64 Mg/m³
- E: -6.355 eV/atom
- Fermi-level density of states: 0.580 states/eV/atom
- Polymorph energy (0 for the lowest one): 369 meV/atom
- Formation energy from raw total energies: -0.44 eV/atom

=====

Below is an optimized crystal structure of Sc3Zn4Si2, with properties calculated at the PBE level.

Cell lengths 5.3916, 5.3916, 8.0331 Å; angles 111.41, 111.41, 45.67 degrees
With the nearest neighbours (Å) after each atom.
Sites, in units of the cell vectors:
Sc 0.0000 0.0000 0.0000  8 Zn 2.84-3.01, 4 Si 2.91
Sc 0.3252 0.3252 0.3436  4 Si 2.87-3.06, 8 Zn 2.88-3.11
Sc 0.6748 0.6748 0.6564  4 Si 2.87-3.06, 8 Zn 2.88-3.11
Zn 0.0303 0.0303 0.3668  2 Si 2.44, 1 Zn 2.44
Zn 0.2672 0.2672 0.9331  2 Zn 2.44, 1 Si 2.45
Zn 0.7328 0.7328 0.0669  2 Zn 2.44, 1 Si 2.45
Zn 0.9697 0.9697 0.6332  2 Si 2.44, 1 Zn 2.44
Si 0.3933 0.3933 0.7262  3 Zn 2.44-2.45
Si 0.6067 0.6067 0.2738  3 Zn 2.44-2.45

Results
- Calculated density: 4.90 Mg/m³
- E: -4.371 eV/atom
- Fermi-level density of states: 0.634 states/eV/atom
- Formation energy from raw total energies: -0.49 eV/atom

=====

Q: Look up the Fermi-level density of states of the first one.
A: 0.580 states/eV/atom